one:
A relaxed LiTe2N2 crystal, computed with GGA-PBE.

abc: 4.154 4.154 4.882
angles: 90.00 90.00 90.00
Fractional positions:
Te 0.500 0.500 0.500
Te 0.000 0.000 0.500
Li 0.000 0.000 0.000
N 0.000 0.500 0.000
N 0.500 0.000 0.000

Values from the calculation:
The volume comes out at 16.85 A^3/atom.



two:
A relaxed LiTe2N2 crystal, computed with GGA-PBE.

abc: 4.017 4.017 6.278
angles: 90.00 90.00 90.00
Fractional positions:
Te 0.000 0.000 0.000
Te 0.000 0.000 0.500
Li 0.500 0.500 0.500
N 0.000 0.500 0.000
N 0.500 0.000 0.000

Values from the calculation:
The volume comes out at 20.26 A^3/atom.



Relative energies, unit eV/atom: one 0.697; two 0.000



one:
A relaxed Li3TeN crystal, computed with GGA-PBE.

abc: 4.142 4.142 4.142
angles: 90.00 90.00 90.00
Fractional positions:
Te 0.500 0.500 0.500
Li 0.000 0.500 0.000
Li 0.000 0.000 0.500
Li 0.500 0.000 0.000
N 0.000 0.000 0.000

Values from the calculation:
The volume comes out at 14.22 A^3/atom.



two:
A relaxed Li3TeN crystal, computed with GGA-PBE.

abc: 5.140 5.140 5.140
angles: 90.00 90.00 90.00
Fractional positions:
Te 0.000 0.000 0.000
Li 0.000 0.500 0.000
Li 0.000 0.000 0.500
Li 0.500 0.000 0.000
N 0.500 0.500 0.500

Values from the calculation:
The volume comes out at 27.16 A^3/atom.



Relative energies, unit eV/atom: one 0.000; two 0.667



one:
A relaxed LiTe3N crystal, computed with GGA-PBE.

abc: 5.069 5.069 5.069
angles: 90.00 90.00 90.00
Fractional positions:
Te 0.000 0.500 0.000
Te 0.000 0.000 0.500
Te 0.500 0.000 0.000
Li 0.000 0.000 0.000
N 0.500 0.500 0.500

Values from the calculation:
The volume comes out at 26.05 A^3/atom.



two:
A relaxed LiTe3N crystal, computed with GGA-PBE.

abc: 4.798 4.798 4.798
angles: 90.00 90.00 90.00
Fractional positions:
Te 0.000 0.500 0.000
Te 0.000 0.000 0.500
Te 0.500 0.000 0.000
Li 0.500 0.500 0.500
N 0.000 0.000 0.000

Values from the calculation:
The volume comes out at 22.08 A^3/atom.



Relative energies, unit eV/atom: one 0.788; two 0.000